No. 1
{"formula": "ErCdAs2", "functional": "PBE", "state": "relaxed", "energy_ev_per_atom": -4.26, "e_form_ev_per_atom": -0.5609, "n_ef_per_ev_atom": 0.6631, "cell": [[2.093, 1.208, 6.285], [-2.093, 1.208, 6.285], [0.000, -2.417, 6.285]], "species": ["Er", "Cd", "As", "As"], "fractional_positions": [[0.000, 0.000, 0.000], [0.500, 0.500, 0.500], [0.251, 0.251, 0.251], [0.749, 0.749, 0.749]]}

No. 2
{"formula": "MnIn2Re", "functional": "PBE", "state": "relaxed", "energy_ev_per_atom": -6.31, "e_form_ev_per_atom": 0.4667, "de_polymorph_ev_per_fu": 0.81, "n_ef_per_ev_atom": 0.6851, "cell": [[-2.070, 2.076, 4.151], [2.070, -2.076, 4.151], [2.070, 2.076, -4.151]], "species": ["Mn", "In", "In", "Re"], "fractional_positions": [[0.000, 0.000, 0.000], [0.250, 0.750, 0.500], [0.750, 0.250, 0.500], [0.500, 0.500, 0.000]]}

No. 3
{"formula": "Pm2Er2Tm5", "functional": "PBE", "state": "relaxed", "energy_ev_per_atom": -4.55, "e_form_ev_per_atom": 0.0067, "de_polymorph_ev_per_fu": 0.00, "n_ef_per_ev_atom": 1.2885, "cell": [[9.227, -1.785, 0.000], [9.227, 1.785, 0.000], [-2.040, 0.000, 8.504]], "species": ["Pm", "Pm", "Er", "Er", "Tm", "Tm", "Tm", "Tm", "Tm"], "fractional_positions": [[0.093, 0.093, 0.334], [0.907, 0.907, 0.666], [0.167, 0.167, 0.000], [0.833, 0.833, 0.000], [0.240, 0.240, 0.667], [0.425, 0.425, 0.331], [0.500, 0.500, 0.000], [0.575, 0.575, 0.669], [0.760, 0.760, 0.333]]}

No. 4
{"formula": "Os2PtSe", "functional": "PBE", "state": "relaxed", "energy_ev_per_atom": -7.62, "formation_energy_uncorrected_ev_per_atom": 0.375, "n_ef_per_ev_atom": 0.8292, "cell": [[2.753, 0.000, 0.000], [0.000, 3.549, 0.000], [0.000, 0.000, 6.925]], "species": ["Os", "Os", "Pt", "Se"], "fractional_positions": [[0.000, 0.000, 0.000], [0.500, 0.500, 0.178], [0.500, 0.500, 0.759], [0.500, 0.000, 0.474]]}

No. 5
{"formula": "Cs2TcI4Br2", "functional": "PBE", "state": "relaxed", "energy_ev_per_atom": -3.26, "formation_energy_uncorrected_ev_per_atom": -0.859, "cell": [[7.065, -4.006, 0.000], [7.065, 4.006, 0.000], [-1.640, 0.000, 7.042]], "species": ["Cs", "Cs", "Tc", "I", "I", "I", "I", "Br", "Br"], "fractional_positions": [[0.150, 0.150, 0.289], [0.850, 0.850, 0.711], [0.500, 0.500, 0.500], [0.156, 0.641, 0.263], [0.359, 0.844, 0.737], [0.641, 0.156, 0.263], [0.844, 0.359, 0.737], [0.370, 0.370, 0.689], [0.630, 0.630, 0.311]]}

No. 6
{"formula": "TcHgMo2", "functional": "PBE", "state": "relaxed", "energy_ev_per_atom": -7.60, "e_form_ev_per_atom": 0.4819, "n_ef_per_ev_atom": 0.7631, "cell": [[-2.012, 2.012, 4.053], [2.012, -2.012, 4.053], [2.012, 2.012, -4.053]], "species": ["Tc", "Hg", "Mo", "Mo"], "fractional_positions": [[0.000, 0.000, 0.000], [0.250, 0.750, 0.500], [0.500, 0.500, 0.000], [0.750, 0.250, 0.500]]}

No. 7
{"formula": "Cs3CdS", "functional": "PBE", "state": "relaxed", "energy_ev_per_atom": -2.01, "de_polymorph_ev_per_fu": 0.00, "formation_energy_uncorrected_ev_per_atom": -0.485, "n_ef_per_ev_atom": 1.0075, "cell": [[6.791, 0.000, 0.000], [0.000, 6.791, 0.000], [0.000, 0.000, 6.791]], "species": ["Cs", "Cs", "Cs", "Cd", "S"], "fractional_positions": [[0.000, 0.000, 0.500], [0.000, 0.500, 0.000], [0.500, 0.000, 0.000], [0.500, 0.500, 0.500], [0.000, 0.000, 0.000]]}

No. 8
{"formula": "Sc2AlZnSe", "functional": "PBE", "state": "relaxed", "energy_ev_per_atom": -4.29, "formation_energy_uncorrected_ev_per_atom": -0.056, "n_ef_per_ev_atom": 1.0581, "cell": [[5.113, 0.000, 0.000], [0.000, 5.113, 0.000], [0.000, 0.000, 4.425]], "species": ["Sc", "Sc", "Al", "Zn", "Se"], "fractional_positions": [[0.000, 0.500, 0.000], [0.500, 0.000, 0.000], [0.000, 0.000, 0.500], [0.000, 0.000, 0.000], [0.500, 0.500, 0.500]]}